A relaxed Pm6Pr16Sm7 crystal, computed with PBE.

POSCAR file:
```
Pm6Pr16Sm7
1.0
-9.145 5.684 -3.989
-3.848 -2.048 -10.623
-9.959 -5.504 -1.537
Pm Pr Sm
6 16 7
Direct
0.269 0.731 0.269
0.731 0.269 0.731
0.731 0.269 0.269
0.269 0.731 0.731
0.731 0.731 0.269
0.269 0.269 0.731
0.874 0.874 0.378
0.874 0.874 0.874
0.874 0.378 0.874
0.378 0.874 0.874
0.126 0.126 0.126
0.126 0.126 0.622
0.126 0.622 0.126
0.622 0.126 0.126
0.651 0.651 0.047
0.651 0.651 0.651
0.651 0.047 0.651
0.047 0.651 0.651
0.349 0.349 0.349
0.349 0.349 0.953
0.349 0.953 0.349
0.953 0.349 0.349
0.000 0.000 0.000
0.500 0.000 0.500
0.000 0.500 0.000
0.000 0.500 0.500
0.500 0.000 0.000
0.000 0.000 0.500
0.500 0.500 0.000
```

Properties
Size of the total moment in Bohr magnetons per cell: 0.00
Formation energy from the elements in eV per atom: 0.202
Space-group type: No. 225
Final energy in eV per cell: -132.160